No. 1
# CrCoPt2 | the Alexandria database | PBE | relaxed
# - crystal system = orthorhombic
# - excess energy over the best structure of this formula in the dataset (eV/f.u.) = 0.36
# - E_tot (eV/cell) = -29.3
data_CrCoPt2
_chemical_formula_sum 'Cr1 Co1 Pt2'
_cell_length_a 2.713
_cell_length_b 3.748
_cell_length_c 5.394
_cell_angle_alpha 90.00
_cell_angle_beta 90.00
_cell_angle_gamma 90.00
_space_group_name_H-M_alt 'P m m m'
_space_group_IT_number 47
_space_group_name_Hall '-P 2 2'
loop_
_atom_site_label
_atom_site_fract_x
_atom_site_fract_y
_atom_site_fract_z
Cr1 0.000 0.000 0.000
Co1 0.000 0.000 0.500
Pt1 0.500 0.500 0.251

No. 2
# Cr2CoPt | the Alexandria database | PBE | relaxed
# - crystal system = trigonal
# - excess energy over the best structure of this formula in the dataset (eV/f.u.) = 0.83
# - E_tot (eV/cell) = -95.6
data_Cr2CoPt
_chemical_formula_sum 'Cr6 Co3 Pt3'
_cell_length_a 2.6165
_cell_length_b 2.6165
_cell_length_c 25.5638
_cell_angle_alpha 90.00
_cell_angle_beta 90.00
_cell_angle_gamma 120.00
_space_group_name_H-M_alt 'R 3 m'
_space_group_IT_number 160
_space_group_name_Hall 'R 3 -2"'
loop_
_atom_site_label
_atom_site_fract_x
_atom_site_fract_y
_atom_site_fract_z
Cr1 0.0000 0.0000 0.0000
Cr2 0.0000 0.0000 0.2494
Co1 0.0000 0.0000 0.7412
Pt1 0.0000 0.0000 0.4967

The calculation returns the following total moment values, one per record and in order: 3.64; 2.70 μB/cell.
The calculation returns the following volume values, one per record and in order: 13.71; 12.63 Å³/atom.